Entry 1:
Material: CaTm2Tl2
Method: DFT, PBE-GGA
State: relaxed

Summary:
SG: P-1, No. 2
Calculated total energy (Ry/atom): -0.2494

Structure (CIF):
```
data_CaTm2Tl2
_chemical_formula_sum 'Ca2 Tm4 Tl4'
_cell_length_a 5.249
_cell_length_b 6.656
_cell_length_c 9.077
_cell_angle_alpha 102.91
_cell_angle_beta 90.09
_cell_angle_gamma 113.11
_space_group_name_H-M_alt 'P 1'
_space_group_IT_number 1
_space_group_name_Hall 'P 1'
loop_
_atom_site_label
_atom_site_fract_x
_atom_site_fract_y
_atom_site_fract_z
_atom_site_occupancy
Ca1 0.071 0.140 0.357 1
Ca2 0.929 0.860 0.643 1
Tm1 0.253 0.506 0.754 1
Tm2 0.433 0.864 0.142 1
Tm3 0.567 0.136 0.858 1
Tm4 0.747 0.494 0.246 1
Tl1 0.135 0.271 0.041 1
Tl2 0.362 0.725 0.450 1
Tl3 0.638 0.275 0.550 1
Tl4 0.865 0.729 0.959 1
```

Entry 2:
Material: Cd3InPt
Method: DFT, PBE-GGA
State: relaxed

Summary:
ΔE to the lowest computed polymorph (eV per atom): 0.147
SG: Pm-3m, No. 221
Calculated total energy (Ry/atom): -0.1690

Structure (CIF):
```
data_Cd3InPt
_chemical_formula_sum 'Cd3 In1 Pt1'
_cell_length_a 5.243
_cell_length_b 5.243
_cell_length_c 5.243
_cell_angle_alpha 90.00
_cell_angle_beta 90.00
_cell_angle_gamma 90.00
_space_group_name_H-M_alt 'P 1'
_space_group_IT_number 1
_space_group_name_Hall 'P 1'
loop_
_atom_site_label
_atom_site_fract_x
_atom_site_fract_y
_atom_site_fract_z
_atom_site_occupancy
Cd1 0.000 0.000 0.500 1
Cd2 0.000 0.500 0.000 1
Cd3 0.500 0.000 0.000 1
In1 0.500 0.500 0.500 1
Pt1 0.000 0.000 0.000 1
```

Entry 3:
Material: In4HgBr5
Method: DFT, PBE-GGA
State: relaxed

Summary:
SG: Pmmn, No. 59
Raw formation energy (kJ per mole of atoms): -54.0
Calculated total energy (Ry/atom): -0.1853

Structure (CIF):
```
data_In4HgBr5
_chemical_formula_sum 'In8 Hg2 Br10'
_cell_length_a 9.160
_cell_length_b 10.471
_cell_length_c 7.780
_cell_angle_alpha 90.00
_cell_angle_beta 90.00
_cell_angle_gamma 90.00
_space_group_name_H-M_alt 'P 1'
_space_group_IT_number 1
_space_group_name_Hall 'P 1'
loop_
_atom_site_label
_atom_site_fract_x
_atom_site_fract_y
_atom_site_fract_z
_atom_site_occupancy
In1 0.015 0.250 0.040 1
In2 0.250 0.011 0.514 1
In3 0.250 0.489 0.514 1
In4 0.485 0.250 0.040 1
In5 0.515 0.750 0.960 1
In6 0.750 0.511 0.486 1
In7 0.750 0.989 0.486 1
In8 0.985 0.750 0.960 1
Hg1 0.250 0.250 0.317 1
Hg2 0.750 0.750 0.683 1
Br1 0.015 0.060 0.762 1
Br2 0.015 0.440 0.762 1
Br3 0.250 0.750 0.633 1
Br4 0.485 0.060 0.762 1
Br5 0.485 0.440 0.762 1
Br6 0.515 0.560 0.238 1
Br7 0.515 0.940 0.238 1
Br8 0.750 0.250 0.367 1
Br9 0.985 0.560 0.238 1
Br10 0.985 0.940 0.238 1
```

Entry 4:
Material: LaNbTe2
Method: DFT, PBE-GGA
State: relaxed

Summary:
ΔE to the lowest computed polymorph (eV per atom): 0.638
SG: R-3m, No. 166
Raw formation energy (kJ per mole of atoms): -3.1
Calculated total energy (Ry/atom): -0.3934

Structure (CIF):
```
data_LaNbTe2
_chemical_formula_sum 'La1 Nb1 Te2'
_cell_length_a 9.693
_cell_length_b 9.693
_cell_length_c 9.693
_cell_angle_alpha 26.75
_cell_angle_beta 26.75
_cell_angle_gamma 26.75
_space_group_name_H-M_alt 'P 1'
_space_group_IT_number 1
_space_group_name_Hall 'P 1'
loop_
_atom_site_label
_atom_site_fract_x
_atom_site_fract_y
_atom_site_fract_z
_atom_site_occupancy
La1 0.000 0.000 0.000 1
Nb1 0.500 0.500 0.500 1
Te1 0.400 0.400 0.400 1
Te2 0.600 0.600 0.600 1
```

Entry 5:
Material: Cs6Rb8Na
Method: DFT, PBE-GGA
State: relaxed

Summary:
SG: R-3, No. 148
Calculated total energy (Ry/atom): -0.0680

Structure (CIF):
```
data_Cs6Rb8Na
_chemical_formula_sum 'Cs6 Rb8 Na1'
_cell_length_a 11.901
_cell_length_b 11.901
_cell_length_c 11.901
_cell_angle_alpha 71.72
_cell_angle_beta 71.72
_cell_angle_gamma 71.72
_space_group_name_H-M_alt 'P 1'
_space_group_IT_number 1
_space_group_name_Hall 'P 1'
loop_
_atom_site_label
_atom_site_fract_x
_atom_site_fract_y
_atom_site_fract_z
_atom_site_occupancy
Cs1 0.173 0.439 0.619 1
Cs2 0.381 0.827 0.561 1
Cs3 0.439 0.619 0.173 1
Cs4 0.561 0.381 0.827 1
Cs5 0.619 0.173 0.439 1
Cs6 0.827 0.561 0.381 1
Rb1 0.042 0.889 0.344 1
Rb2 0.111 0.656 0.958 1
Rb3 0.241 0.241 0.241 1
Rb4 0.344 0.042 0.889 1
Rb5 0.656 0.958 0.111 1
Rb6 0.759 0.759 0.759 1
Rb7 0.889 0.344 0.042 1
Rb8 0.958 0.111 0.656 1
Na1 0.000 0.000 0.000 1
```

Entry 6:
Material: TaPdRh2Au
Method: DFT, PBE-GGA
State: relaxed

Summary:
SG: P4/mmm, No. 123
Calculated total energy (Ry/atom): -0.3894

Structure (CIF):
```
data_TaPdRh2Au
_chemical_formula_sum 'Ta1 Pd1 Rh2 Au1'
_cell_length_a 4.790
_cell_length_b 4.790
_cell_length_c 4.746
_cell_angle_alpha 90.00
_cell_angle_beta 90.00
_cell_angle_gamma 90.00
_space_group_name_H-M_alt 'P 1'
_space_group_IT_number 1
_space_group_name_Hall 'P 1'
loop_
_atom_site_label
_atom_site_fract_x
_atom_site_fract_y
_atom_site_fract_z
_atom_site_occupancy
Ta1 0.000 0.000 0.000 1
Pd1 0.500 0.500 0.000 1
Rh1 0.000 0.500 0.500 1
Rh2 0.500 0.000 0.500 1
Au1 0.500 0.500 0.500 1
```

Entry 7:
Material: NaAgPb3
Method: DFT, PBE-GGA
State: relaxed

Summary:
ΔE to the lowest computed polymorph (eV per atom): 0.649
SG: Pm-3m, No. 221
Calculated total energy (Ry/atom): -0.1778

Structure (CIF):
```
data_NaAgPb3
_chemical_formula_sum 'Na1 Ag1 Pb3'
_cell_length_a 5.504
_cell_length_b 5.504
_cell_length_c 5.504
_cell_angle_alpha 90.00
_cell_angle_beta 90.00
_cell_angle_gamma 90.00
_space_group_name_H-M_alt 'P 1'
_space_group_IT_number 1
_space_group_name_Hall 'P 1'
loop_
_atom_site_label
_atom_site_fract_x
_atom_site_fract_y
_atom_site_fract_z
_atom_site_occupancy
Na1 0.000 0.000 0.000 1
Ag1 0.500 0.500 0.500 1
Pb1 0.000 0.000 0.500 1
Pb2 0.000 0.500 0.000 1
Pb3 0.500 0.000 0.000 1
```

Entry 8:
Material: K3Li3CoCl8
Method: DFT, PBE-GGA
State: relaxed

Summary:
SG: C2/m, No. 12
Raw formation energy (kJ per mole of atoms): -151.1
Calculated total energy (Ry/atom): -0.2665

Structure (CIF):
```
data_K3Li3CoCl8
_chemical_formula_sum 'K3 Li3 Co1 Cl8'
_cell_length_a 7.726
_cell_length_b 7.726
_cell_length_c 8.365
_cell_angle_alpha 117.27
_cell_angle_beta 117.27
_cell_angle_gamma 60.20
_space_group_name_H-M_alt 'P 1'
_space_group_IT_number 1
_space_group_name_Hall 'P 1'
loop_
_atom_site_label
_atom_site_fract_x
_atom_site_fract_y
_atom_site_fract_z
_atom_site_occupancy
K1 0.000 0.000 0.000 1
K2 0.000 0.500 0.000 1
K3 0.500 0.000 0.000 1
Li1 0.000 0.500 0.500 1
Li2 0.500 0.000 0.500 1
Li3 0.500 0.500 0.500 1
Co1 0.000 0.000 0.500 1
Cl1 0.220 0.220 0.690 1
Cl2 0.221 0.750 0.690 1
Cl3 0.250 0.779 0.310 1
Cl4 0.267 0.267 0.301 1
Cl5 0.733 0.733 0.699 1
Cl6 0.750 0.221 0.690 1
Cl7 0.779 0.250 0.310 1
Cl8 0.780 0.780 0.310 1
```

no.,magnetization (μB/cell)
1,0.00
2,0.00
3,0.00
4,3.79
5,0.00
6,0.00
7,0.00
8,3.00